Record 1
# Li3LaSi, optimized geometry, DFT GGA-PBE
data_Li3LaSi
_space_group_name_H-M_alt 'P 1'
_space_group_IT_number 1
_cell_length_a 4.725
_cell_length_b 4.725
_cell_length_c 4.725
_cell_angle_alpha 90.00
_cell_angle_beta 90.00
_cell_angle_gamma 90.00
loop_
_space_group_symop_operation_xyz
'x,y,z'
loop_
_atom_site_label
_atom_site_fract_x
_atom_site_fract_y
_atom_site_fract_z
Si1 0.000 0.000 0.000
Li1 0.000 0.000 0.500
Li2 0.000 0.500 0.000
Li3 0.500 0.000 0.000
La1 0.500 0.500 0.500
# Symmetry: No. 221
# Formation energy without anion corrections (eV/atom): -0.026
# Energy above the lowest structure with this stoichiometry (eV/atom): 0.000

=====

Record 2
# LiLa2Si, optimized geometry, DFT GGA-PBE
data_LiLa2Si
_space_group_name_H-M_alt 'P 1'
_space_group_IT_number 1
_cell_length_a 8.436
_cell_length_b 8.436
_cell_length_c 6.761
_cell_angle_alpha 51.40
_cell_angle_beta 51.40
_cell_angle_gamma 90.00
loop_
_space_group_symop_operation_xyz
'x,y,z'
loop_
_atom_site_label
_atom_site_fract_x
_atom_site_fract_y
_atom_site_fract_z
Li1 0.250 0.750 0.500
Li2 0.500 0.500 0.000
La1 0.875 0.894 0.750
La2 0.106 0.625 0.250
La3 0.375 0.356 0.750
La4 0.644 0.125 0.250
Si1 0.750 0.250 0.500
Si2 0.000 0.000 0.000
# Symmetry: No. 122
# Formation energy without anion corrections (eV/atom): -0.008

=====

Record 3
# Li4LaSi, optimized geometry, DFT GGA-PBE
data_Li4LaSi
_space_group_name_H-M_alt 'P 1'
_space_group_IT_number 1
_cell_length_a 5.410
_cell_length_b 5.410
_cell_length_c 5.410
_cell_angle_alpha 60.00
_cell_angle_beta 60.00
_cell_angle_gamma 60.00
loop_
_space_group_symop_operation_xyz
'x,y,z'
loop_
_atom_site_label
_atom_site_fract_x
_atom_site_fract_y
_atom_site_fract_z
Li1 0.377 0.377 0.377
Li2 0.869 0.377 0.377
Li3 0.377 0.377 0.869
Li4 0.377 0.869 0.377
La1 0.000 0.000 0.000
Si1 0.750 0.750 0.750
# Symmetry: No. 216
# Formation energy without anion corrections (eV/atom): -0.004

=====

Record 4
# LiLa2Si, optimized geometry, DFT GGA-PBE
data_LiLa2Si
_space_group_name_H-M_alt 'P 1'
_space_group_IT_number 1
_cell_length_a 4.133
_cell_length_b 4.133
_cell_length_c 6.371
_cell_angle_alpha 90.00
_cell_angle_beta 90.00
_cell_angle_gamma 90.00
loop_
_space_group_symop_operation_xyz
'x,y,z'
loop_
_atom_site_label
_atom_site_fract_x
_atom_site_fract_y
_atom_site_fract_z
Li1 0.000 0.000 0.512
La1 0.500 0.500 0.268
La2 0.000 0.000 0.949
Si1 0.500 0.500 0.771
# Symmetry: No. 99
# Formation energy without anion corrections (eV/atom): -0.088